# PmGa2Ni3 (PBE-GGA, optimized geometry)
data_PmGa2Ni3
_symmetry_space_group_name_H-M 'P 1'
_symmetry_Int_Tables_number 1
_cell_length_a 3.848
_cell_length_b 5.283
_cell_length_c 5.283
_cell_angle_alpha 119.99
_cell_angle_beta 90.00
_cell_angle_gamma 90.00
loop_
_symmetry_equiv_pos_as_xyz
'x,y,z'
loop_
_atom_site_label
_atom_site_type_symbol
_atom_site_fract_x
_atom_site_fract_y
_atom_site_fract_z
Ni1 Ni 0.500 0.001 0.500
Ni2 Ni 0.500 0.501 0.000
Ni3 Ni 0.500 0.501 0.500
Pm1 Pm 0.000 0.001 0.000
Ga1 Ga 0.000 0.668 0.333
Ga2 Ga 0.000 0.335 0.667
# - DOS(E_F): 0.56 states/eV per atom
# - Magnetization: 0.000 μB/f.u.
# - ΔE_f: -529 meV per atom
# - Relative energy among the computed polymorphs: 0.0 meV per atom

---

# Pm3Ga8Ni3 (PBE-GGA, optimized geometry)
data_Pm3Ga8Ni3
_symmetry_space_group_name_H-M 'P 1'
_symmetry_Int_Tables_number 1
_cell_length_a 4.393
_cell_length_b 8.161
_cell_length_c 8.276
_cell_angle_alpha 63.89
_cell_angle_beta 74.61
_cell_angle_gamma 74.38
loop_
_symmetry_equiv_pos_as_xyz
'x,y,z'
loop_
_atom_site_label
_atom_site_type_symbol
_atom_site_fract_x
_atom_site_fract_y
_atom_site_fract_z
Ni1 Ni 0.000 0.500 0.500
Ni2 Ni 0.655 0.690 0.000
Ni3 Ni 0.345 0.310 0.000
Ga1 Ga 0.353 0.027 0.268
Ga2 Ga 0.647 0.973 0.732
Ga3 Ga 0.489 0.340 0.682
Ga4 Ga 0.845 0.435 0.874
Ga5 Ga 0.511 0.660 0.318
Ga6 Ga 0.132 0.161 0.575
Ga7 Ga 0.155 0.565 0.126
Ga8 Ga 0.868 0.839 0.425
Pm1 Pm 0.000 0.000 0.000
Pm2 Pm 0.713 0.274 0.301
Pm3 Pm 0.287 0.726 0.699
# - DOS(E_F): 0.48 states/eV per atom
# - Magnetization: 0.000 μB/f.u.
# - ΔE_f: -553 meV per atom
# - Relative energy among the computed polymorphs: 16.5 meV per atom

---

# Pm3Ga3Ni (PBE-GGA, optimized geometry)
data_Pm3Ga3Ni
_symmetry_space_group_name_H-M 'P 1'
_symmetry_Int_Tables_number 1
_cell_length_a 4.345
_cell_length_b 5.919
_cell_length_c 13.748
_cell_angle_alpha 84.35
_cell_angle_beta 80.91
_cell_angle_gamma 68.47
loop_
_symmetry_equiv_pos_as_xyz
'x,y,z'
loop_
_atom_site_label
_atom_site_type_symbol
_atom_site_fract_x
_atom_site_fract_y
_atom_site_fract_z
Ga1 Ga 0.158 0.225 0.460
Ga2 Ga 0.106 0.864 0.924
Ga3 Ga 0.959 0.842 0.239
Ga4 Ga 0.894 0.136 0.076
Ga5 Ga 0.041 0.158 0.761
Ga6 Ga 0.842 0.775 0.540
Pm1 Pm 0.607 0.707 0.080
Pm2 Pm 0.742 0.752 0.764
Pm3 Pm 0.258 0.248 0.236
Pm4 Pm 0.528 0.330 0.614
Pm5 Pm 0.472 0.670 0.386
Pm6 Pm 0.393 0.293 0.920
Ni1 Ni 0.245 0.906 0.604
Ni2 Ni 0.755 0.094 0.396
# - DOS(E_F): 0.96 states/eV per atom
# - Magnetization: 0.000 μB/f.u.
# - ΔE_f: -568 meV per atom

---

# PmGaNi4 (PBE-GGA, optimized geometry)
data_PmGaNi4
_symmetry_space_group_name_H-M 'P 1'
_symmetry_Int_Tables_number 1
_cell_length_a 3.774
_cell_length_b 6.743
_cell_length_c 7.087
_cell_angle_alpha 90.00
_cell_angle_beta 90.00
_cell_angle_gamma 90.00
loop_
_symmetry_equiv_pos_as_xyz
'x,y,z'
loop_
_atom_site_label
_atom_site_type_symbol
_atom_site_fract_x
_atom_site_fract_y
_atom_site_fract_z
Pm1 Pm 0.000 0.354 0.250
Pm2 Pm 0.000 0.646 0.750
Ni1 Ni 0.500 0.726 0.048
Ni2 Ni 0.500 0.274 0.952
Ni3 Ni 0.500 0.726 0.452
Ni4 Ni 0.500 0.963 0.750
Ni5 Ni 0.500 0.037 0.250
Ni6 Ni 0.000 0.000 0.000
Ni7 Ni 0.500 0.274 0.548
Ni8 Ni 0.000 0.000 0.500
Ga1 Ga 0.000 0.782 0.250
Ga2 Ga 0.000 0.218 0.750
# - DOS(E_F): 0.68 states/eV per atom
# - Magnetization: 0.000 μB/f.u.
# - ΔE_f: -268 meV per atom
# - Relative energy among the computed polymorphs: 90.9 meV per atom

---

# Pm4Ga12Ni (PBE-GGA, optimized geometry)
data_Pm4Ga12Ni
_symmetry_space_group_name_H-M 'P 1'
_symmetry_Int_Tables_number 1
_cell_length_a 7.550
_cell_length_b 7.550
_cell_length_c 7.550
_cell_angle_alpha 109.47
_cell_angle_beta 109.47
_cell_angle_gamma 109.47
loop_
_symmetry_equiv_pos_as_xyz
'x,y,z'
loop_
_atom_site_label
_atom_site_type_symbol
_atom_site_fract_x
_atom_site_fract_y
_atom_site_fract_z
Ga1 Ga 0.000 0.712 0.712
Ga2 Ga 0.250 0.500 0.750
Ga3 Ga 0.288 0.000 0.288
Ga4 Ga 0.288 0.288 0.000
Ga5 Ga 0.500 0.250 0.750
Ga6 Ga 0.250 0.750 0.500
Ga7 Ga 0.712 0.712 0.000
Ga8 Ga 0.712 0.000 0.712
Ga9 Ga 0.750 0.250 0.500
Ga10 Ga 0.750 0.500 0.250
Ga11 Ga 0.500 0.750 0.250
Ga12 Ga 0.000 0.288 0.288
Pm1 Pm 0.500 0.500 0.500
Pm2 Pm 0.500 0.000 0.000
Pm3 Pm 0.000 0.500 0.000
Pm4 Pm 0.000 0.000 0.500
Ni1 Ni 0.000 0.000 0.000
# - DOS(E_F): 0.14 states/eV per atom
# - Magnetization: 0.000 μB/f.u.
# - ΔE_f: -580 meV per atom

---

# Pm3Ga6Ni5 (PBE-GGA, optimized geometry)
data_Pm3Ga6Ni5
_symmetry_space_group_name_H-M 'P 1'
_symmetry_Int_Tables_number 1
_cell_length_a 4.165
_cell_length_b 8.987
_cell_length_c 12.701
_cell_angle_alpha 90.00
_cell_angle_beta 90.00
_cell_angle_gamma 90.00
loop_
_symmetry_equiv_pos_as_xyz
'x,y,z'
loop_
_atom_site_label
_atom_site_type_symbol
_atom_site_fract_x
_atom_site_fract_y
_atom_site_fract_z
Ga1 Ga 0.500 0.583 0.000
Ga2 Ga 0.500 0.409 0.825
Ga3 Ga 0.000 0.035 0.500
Ga4 Ga 0.500 0.409 0.175
Ga5 Ga 0.500 0.018 0.649
Ga6 Ga 0.500 0.965 0.000
Ga7 Ga 0.000 0.982 0.851
Ga8 Ga 0.000 0.591 0.325
Ga9 Ga 0.500 0.018 0.351
Ga10 Ga 0.000 0.982 0.149
Ga11 Ga 0.000 0.417 0.500
Ga12 Ga 0.000 0.591 0.675
Pm1 Pm 0.500 0.752 0.801
Pm2 Pm 0.000 0.248 0.699
Pm3 Pm 0.500 0.738 0.500
Pm4 Pm 0.000 0.248 0.301
Pm5 Pm 0.000 0.262 0.000
Pm6 Pm 0.500 0.752 0.199
Ni1 Ni 0.500 0.129 0.841
Ni2 Ni 0.000 0.785 0.000
Ni3 Ni 0.500 0.215 0.500
Ni4 Ni 0.500 0.129 0.159
Ni5 Ni 0.000 0.871 0.659
Ni6 Ni 0.000 0.543 0.890
Ni7 Ni 0.000 0.871 0.341
Ni8 Ni 0.500 0.457 0.610
Ni9 Ni 0.500 0.457 0.390
Ni10 Ni 0.000 0.543 0.110
# - DOS(E_F): 0.54 states/eV per atom
# - Magnetization: 0.000 μB/f.u.
# - ΔE_f: -558 meV per atom

---

# Pm2Ga5Ni5 (PBE-GGA, optimized geometry)
data_Pm2Ga5Ni5
_symmetry_space_group_name_H-M 'P 1'
_symmetry_Int_Tables_number 1
_cell_length_a 4.047
_cell_length_b 5.261
_cell_length_c 8.961
_cell_angle_alpha 90.00
_cell_angle_beta 90.00
_cell_angle_gamma 90.00
loop_
_symmetry_equiv_pos_as_xyz
'x,y,z'
loop_
_atom_site_label
_atom_site_type_symbol
_atom_site_fract_x
_atom_site_fract_y
_atom_site_fract_z
Pm1 Pm 0.000 0.000 0.500
Pm2 Pm 0.000 0.500 0.000
Ga1 Ga 0.500 0.500 0.500
Ga2 Ga 0.500 0.249 0.236
Ga3 Ga 0.500 0.751 0.764
Ga4 Ga 0.500 0.751 0.236
Ga5 Ga 0.500 0.249 0.764
Ni1 Ni 0.000 0.500 0.335
Ni2 Ni 0.500 0.000 0.000
Ni3 Ni 0.000 0.500 0.665
Ni4 Ni 0.000 0.000 0.830
Ni5 Ni 0.000 0.000 0.170
# - DOS(E_F): 0.75 states/eV per atom
# - Magnetization: 0.000 μB/f.u.
# - ΔE_f: -537 meV per atom

---

# PmGa8Ni4 (PBE-GGA, optimized geometry)
data_PmGa8Ni4
_symmetry_space_group_name_H-M 'P 1'
_symmetry_Int_Tables_number 1
_cell_length_a 5.184
_cell_length_b 6.643
_cell_length_c 6.643
_cell_angle_alpha 81.24
_cell_angle_beta 67.03
_cell_angle_gamma 67.03
loop_
_symmetry_equiv_pos_as_xyz
'x,y,z'
loop_
_atom_site_label
_atom_site_type_symbol
_atom_site_fract_x
_atom_site_fract_y
_atom_site_fract_z
Ni1 Ni 0.000 0.000 0.500
Ni2 Ni 0.500 0.500 0.000
Ni3 Ni 0.500 0.000 0.500
Ni4 Ni 0.000 0.500 0.000
Ga1 Ga 0.344 0.656 0.656
Ga2 Ga 0.723 0.777 0.777
Ga3 Ga 0.277 0.223 0.223
Ga4 Ga 0.000 0.656 0.344
Ga5 Ga 0.656 0.344 0.344
Ga6 Ga 0.500 0.777 0.223
Ga7 Ga 0.500 0.223 0.777
Ga8 Ga 0.000 0.344 0.656
Pm1 Pm 0.000 0.000 0.000
# - DOS(E_F): 0.39 states/eV per atom
# - Magnetization: 0.000 μB/f.u.
# - ΔE_f: -432 meV per atom